[1]
# CsIn2Ag2 | Alexandria via LeMat-Bulk | PBE | relaxed
data_CsIn2Ag2
_symmetry_space_group_name_H-M 'I 4/m m m'
_symmetry_Int_Tables_number 139
_symmetry_space_group_name_Hall '-I 4 2'
_cell_length_a 5.252
_cell_length_b 5.252
_cell_length_c 11.221
_cell_angle_alpha 90.00
_cell_angle_beta 90.00
_cell_angle_gamma 90.00
loop_
_atom_site_label
_atom_site_fract_x
_atom_site_fract_y
_atom_site_fract_z
Cs1 0.000 0.000 0.000
In1 0.000 0.000 0.356
Ag1 0.000 0.500 0.250
# Offset from the most stable computed form = 0.019 eV per formula unit
# Energy of formation from the pure elements = -18 meV/atom

[2]
# HfRe3Rh | Alexandria via LeMat-Bulk | PBE | relaxed
data_HfRe3Rh
_symmetry_space_group_name_H-M 'P m -3 m'
_symmetry_Int_Tables_number 221
_symmetry_space_group_name_Hall '-P 4 2 3'
_cell_length_a 4.655
_cell_length_b 4.655
_cell_length_c 4.655
_cell_angle_alpha 90.00
_cell_angle_beta 90.00
_cell_angle_gamma 90.00
loop_
_atom_site_label
_atom_site_fract_x
_atom_site_fract_y
_atom_site_fract_z
Hf1 0.000 0.000 0.000
Re1 0.000 0.500 0.500
Rh1 0.500 0.500 0.500
# Offset from the most stable computed form = 0.000 eV per formula unit
# Energy of formation from the pure elements = 1762 meV/atom

[3]
# Zr4AlRh | Alexandria via LeMat-Bulk | PBE | relaxed
data_Zr4AlRh
_symmetry_space_group_name_H-M 'I 4 2 2'
_symmetry_Int_Tables_number 97
_symmetry_space_group_name_Hall 'I 4 2'
_cell_length_a 6.791
_cell_length_b 6.791
_cell_length_c 5.296
_cell_angle_alpha 90.00
_cell_angle_beta 90.00
_cell_angle_gamma 90.00
loop_
_atom_site_label
_atom_site_fract_x
_atom_site_fract_y
_atom_site_fract_z
Zr1 0.158 0.342 0.250
Al1 0.000 0.000 0.500
Rh1 0.000 0.000 0.000
# Offset from the most stable computed form = 0.000 eV per formula unit
# Energy of formation from the pure elements = -438 meV/atom

[4]
# Ce6BiPb2 | Alexandria via LeMat-Bulk | PBE | relaxed
data_Ce6BiPb2
_symmetry_space_group_name_H-M 'P 6/m m m'
_symmetry_Int_Tables_number 191
_symmetry_space_group_name_Hall '-P 6 2'
_cell_length_a 9.1708
_cell_length_b 9.1708
_cell_length_c 3.3211
_cell_angle_alpha 90.00
_cell_angle_beta 90.00
_cell_angle_gamma 120.00
loop_
_atom_site_label
_atom_site_fract_x
_atom_site_fract_y
_atom_site_fract_z
Ce1 0.0000 0.3358 0.0000
Bi1 0.0000 0.0000 0.5000
Pb1 0.3333 0.6667 0.5000
# Energy of formation from the pure elements = -192 meV/atom

[5]
# ScSiOs2 | Alexandria via LeMat-Bulk | PBE | relaxed
data_ScSiOs2
_symmetry_space_group_name_H-M 'P 4/m m m'
_symmetry_Int_Tables_number 123
_symmetry_space_group_name_Hall '-P 4 2'
_cell_length_a 4.300
_cell_length_b 4.300
_cell_length_c 3.142
_cell_angle_alpha 90.00
_cell_angle_beta 90.00
_cell_angle_gamma 90.00
loop_
_atom_site_label
_atom_site_fract_x
_atom_site_fract_y
_atom_site_fract_z
Sc1 0.000 0.000 0.000
Si1 0.500 0.500 0.000
Os1 0.000 0.500 0.500
# Formation energy without anion corrections = -0.37 eV/atom

[6]
# Rb2CdAuBr | Alexandria via LeMat-Bulk | PBE | relaxed
data_Rb2CdAuBr
_symmetry_space_group_name_H-M 'P 4/m m m'
_symmetry_Int_Tables_number 123
_symmetry_space_group_name_Hall '-P 4 2'
_cell_length_a 6.524
_cell_length_b 6.524
_cell_length_c 5.370
_cell_angle_alpha 90.00
_cell_angle_beta 90.00
_cell_angle_gamma 90.00
loop_
_atom_site_label
_atom_site_fract_x
_atom_site_fract_y
_atom_site_fract_z
Rb1 0.000 0.500 0.000
Cd1 0.000 0.000 0.500
Au1 0.000 0.000 0.000
Br1 0.500 0.500 0.500
# Formation energy without anion corrections = -0.63 eV/atom

[7]
# TlAgS2 | Alexandria via LeMat-Bulk | PBE | relaxed
data_TlAgS2
_symmetry_space_group_name_H-M 'P 3 m 1'
_symmetry_Int_Tables_number 156
_cell_length_a 4.2381
_cell_length_b 4.2381
_cell_length_c 6.7454
_cell_angle_alpha 90.00
_cell_angle_beta 90.00
_cell_angle_gamma 120.00
loop_
_symmetry_equiv_pos_as_xyz
'x,y,z'
'-y,x-y,z'
'-x+y,-x,z'
'-y,-x,z'
'-x+y,y,z'
'x,x-y,z'
loop_
_atom_site_label
_atom_site_fract_x
_atom_site_fract_y
_atom_site_fract_z
Tl1 0.0000 0.0000 0.0000
Ag1 0.6667 0.3333 0.4252
S1 0.0000 0.0000 0.3782
S2 0.3333 0.6667 0.8437
# Formation energy without anion corrections = -0.06 eV/atom

[8]
# Sb2RhPb | Alexandria via LeMat-Bulk | PBE | relaxed
data_Sb2RhPb
_symmetry_space_group_name_H-M 'P 4/m m m'
_symmetry_Int_Tables_number 123
_symmetry_space_group_name_Hall '-P 4 2'
_cell_length_a 4.551
_cell_length_b 4.551
_cell_length_c 4.607
_cell_angle_alpha 90.00
_cell_angle_beta 90.00
_cell_angle_gamma 90.00
loop_
_atom_site_label
_atom_site_fract_x
_atom_site_fract_y
_atom_site_fract_z
Sb1 0.000 0.500 0.000
Rh1 0.000 0.000 0.500
Pb1 0.500 0.500 0.500
# Formation energy without anion corrections = 0.25 eV/atom

[9]
# PmPaHg4 | Alexandria via LeMat-Bulk | PBE | relaxed
data_PmPaHg4
_symmetry_space_group_name_H-M 'F -4 3 m'
_symmetry_Int_Tables_number 216
_symmetry_space_group_name_Hall 'F -4 2 3'
_cell_length_a 8.441
_cell_length_b 8.441
_cell_length_c 8.441
_cell_angle_alpha 90.00
_cell_angle_beta 90.00
_cell_angle_gamma 90.00
loop_
_atom_site_label
_atom_site_fract_x
_atom_site_fract_y
_atom_site_fract_z
Pm1 0.000 0.000 0.000
Pa1 0.250 0.250 0.250
Hg1 0.125 0.125 0.625
# Offset from the most stable computed form = 1.181 eV per formula unit
# Energy of formation from the pure elements = 15 meV/atom

[10]
# Dy4Ho4Er | Alexandria via LeMat-Bulk | PBE | relaxed
data_Dy4Ho4Er
_symmetry_space_group_name_H-M 'I 4/m m m'
_symmetry_Int_Tables_number 139
_symmetry_space_group_name_Hall '-I 4 2'
_cell_length_a 10.573
_cell_length_b 10.573
_cell_length_c 4.973
_cell_angle_alpha 90.00
_cell_angle_beta 90.00
_cell_angle_gamma 90.00
loop_
_atom_site_label
_atom_site_fract_x
_atom_site_fract_y
_atom_site_fract_z
Dy1 0.000 0.333 0.000
Ho1 0.166 0.166 0.500
Er1 0.000 0.000 0.000
# Energy of formation from the pure elements = 20 meV/atom

[11]
# Na2MgTcBi | Alexandria via LeMat-Bulk | PBE | relaxed
data_Na2MgTcBi
_symmetry_space_group_name_H-M 'P 4/m m m'
_symmetry_Int_Tables_number 123
_symmetry_space_group_name_Hall '-P 4 2'
_cell_length_a 5.205
_cell_length_b 5.205
_cell_length_c 5.059
_cell_angle_alpha 90.00
_cell_angle_beta 90.00
_cell_angle_gamma 90.00
loop_
_atom_site_label
_atom_site_fract_x
_atom_site_fract_y
_atom_site_fract_z
Na1 0.000 0.500 0.000
Mg1 0.000 0.000 0.000
Tc1 0.000 0.000 0.500
Bi1 0.500 0.500 0.500
# Energy of formation from the pure elements = 921 meV/atom

[12]
# AcLaTlPb | Alexandria via LeMat-Bulk | PBE | relaxed
data_AcLaTlPb
_symmetry_space_group_name_H-M 'F -4 3 m'
_symmetry_Int_Tables_number 216
_symmetry_space_group_name_Hall 'F -4 2 3'
_cell_length_a 8.145
_cell_length_b 8.145
_cell_length_c 8.145
_cell_angle_alpha 90.00
_cell_angle_beta 90.00
_cell_angle_gamma 90.00
loop_
_atom_site_label
_atom_site_fract_x
_atom_site_fract_y
_atom_site_fract_z
Ac1 0.000 0.000 0.000
La1 0.000 0.000 0.500
Tl1 0.250 0.250 0.250
Pb1 0.250 0.250 0.750
# Offset from the most stable computed form = 0.022 eV per formula unit
# Energy of formation from the pure elements = -441 meV/atom

What magnetic moment values result from the calculations? In sequence: 0.00 0.00 0.00 4.86 0.00 0.00 0.00 0.00 1.90 0.00 2.62 0.00 μB per formula unit.
What final energy values result from the calculations? In sequence: -2.42 -9.17 -7.99 -5.40 -8.92 -2.19 -3.42 -4.58 -2.56 -4.57 -2.77 -4.22 eV/atom.